DFT (PBE) results for KGeNF2 after structural relaxation.

a = 4.4140 Å, b = 4.4140 Å, c = 3.4458 Å
α = 90.00°, β = 90.00°, γ = 90.00°
With the nearest neighbours (Å) after each atom.
Element x y z (fractional)
Ge1 0.0000 0.0000 0.0000  2 N 1.72
N1 0.0000 0.0000 0.5000  2 Ge 1.72
K1 0.5000 0.5000 0.5000  8 F 2.80, 4 N 3.12
F1 0.0000 0.5000 0.0000  2 Ge 2.21
F2 0.5000 0.0000 0.0000  2 Ge 2.21

## Properties
**Raw formation energy**: -30.74 kcal/mol of atoms
**Calculated volume**: 67.1 Å³/f.u.
**Polymorph energy (0 for the lowest one)**: 0 meV/atom
**Space-group type**: P4/mmm (123)
**Calculated total energy**: -4.89 eV/atom


DFT (PBE) results for KGeN2F after structural relaxation.

a = 3.7307 Å, b = 3.7307 Å, c = 4.8381 Å
α = 90.00°, β = 90.00°, γ = 90.00°
With the nearest neighbours (Å) after each atom.
Element x y z (fractional)
Ge1 0.0000 0.0000 0.0000  4 N 1.87
N1 0.0000 0.5000 0.0000  2 Ge 1.87
N2 0.5000 0.0000 0.0000  2 Ge 1.87
K1 0.5000 0.5000 0.5000  4 F 2.64
F1 0.0000 0.0000 0.5000  2 Ge 2.42, 4 K 2.64

## Properties
**Raw formation energy**: -2.42 kcal/mol of atoms
**Calculated volume**: 67.3 Å³/f.u.
**Polymorph energy (0 for the lowest one)**: 0 meV/atom
**Space-group type**: P4/mmm (123)
**Calculated total energy**: -4.95 eV/atom


DFT (PBE) results for KGeNF2 after structural relaxation.

a = 4.6423 Å, b = 4.6423 Å, c = 4.9089 Å
α = 90.00°, β = 90.00°, γ = 90.00°
With the nearest neighbours (Å) after each atom.
Element x y z (fractional)
Ge1 0.5000 0.5000 0.5000  4 N 3.28, 8 F 3.38
N1 0.0000 0.0000 0.5000  2 K 2.45
K1 0.0000 0.0000 0.0000  4 F 2.32, 2 N 2.45
F1 0.0000 0.5000 0.0000  2 K 2.32
F2 0.5000 0.0000 0.0000  2 K 2.32

## Properties
**Raw formation energy**: 2.95 kcal/mol of atoms
**Calculated volume**: 105.8 Å³/f.u.
**Polymorph energy (0 for the lowest one)**: 1461 meV/atom
**Space-group type**: P4/mmm (123)
**Calculated total energy**: -3.43 eV/atom


DFT (PBE) results for KGeN2F after structural relaxation.

a = 4.9645 Å, b = 4.9645 Å, c = 4.5790 Å
α = 90.00°, β = 90.00°, γ = 90.00°
With the nearest neighbours (Å) after each atom.
Element x y z (fractional)
Ge1 0.5000 0.5000 0.5000  8 N 3.38, 4 F 3.51
N1 0.0000 0.5000 0.0000  2 K 2.48
N2 0.5000 0.0000 0.0000  2 K 2.48
K1 0.0000 0.0000 0.0000  2 F 2.29, 4 N 2.48
F1 0.0000 0.0000 0.5000  2 K 2.29

## Properties
**Raw formation energy**: 34.96 kcal/mol of atoms
**Calculated volume**: 112.9 Å³/f.u.
**Polymorph energy (0 for the lowest one)**: 1621 meV/atom
**Space-group type**: P4/mmm (123)
**Calculated total energy**: -3.33 eV/atom


DFT (PBE) results for K2NaGeF8 after structural relaxation.

a = 5.5447 Å, b = 5.0140 Å, c = 7.1032 Å
α = 79.16°, β = 94.78°, γ = 90.00°
With the nearest neighbours (Å) after each atom.
Element x y z (fractional)
K1 0.5111 0.4244 0.7799  7 F 2.65-2.85
K2 0.4889 0.5756 0.2201  7 F 2.65-2.85
Na1 0.0000 0.0000 0.5000  4 F 2.30-2.39
Ge1 0.0000 0.0000 0.0000  6 F 1.82-1.86
F1 0.0256 0.7661 0.2382  1 Ge 1.86
F2 0.7123 0.8536 0.9325  1 Ge 1.82
F3 0.8377 0.2401 0.1111  1 Ge 1.83
F4 0.9744 0.2339 0.7618  1 Ge 1.86
F5 0.2877 0.1464 0.0675  1 Ge 1.82
F6 0.1623 0.7599 0.8889  1 Ge 1.83
F7 0.6098 0.8440 0.5007  1 F 1.98
F8 0.3902 0.1560 0.4993  1 F 1.98

## Properties
**Raw formation energy**: -57.20 kcal/mol of atoms
**Calculated volume**: 193.3 Å³/f.u.
**Space-group type**: P-1 (2)
**Calculated total energy**: -4.41 eV/atom


DFT (PBE) results for KNa2GeF8 after structural relaxation.

a = 5.0594 Å, b = 4.8584 Å, c = 7.4396 Å
α = 85.78°, β = 89.08°, γ = 90.61°
With the nearest neighbours (Å) after each atom.
Element x y z (fractional)
K1 0.0000 0.0000 0.5000  6 F 2.71-2.74
Na1 0.4978 0.4943 0.7841  6 F 2.29-2.35
Na2 0.5022 0.5057 0.2159  6 F 2.29-2.35
Ge1 0.0000 0.0000 0.0000  6 F 1.83-1.84
F1 0.1350 0.7764 0.1849  1 Ge 1.83
F2 0.7184 0.7611 0.9862  1 Ge 1.84
F3 0.8223 0.1827 0.1707  1 Ge 1.83
F4 0.8650 0.2236 0.8151  1 Ge 1.83
F5 0.2816 0.2389 0.0138  1 Ge 1.84
F6 0.1777 0.8173 0.8293  1 Ge 1.83
F7 0.5448 0.7017 0.4934  1 F 2.00
F8 0.4552 0.2983 0.5066  1 F 2.00

## Properties
**Raw formation energy**: -57.33 kcal/mol of atoms
**Calculated volume**: 182.3 Å³/f.u.
**Space-group type**: P-1 (2)
**Calculated total energy**: -4.43 eV/atom